# LuTaTlNi | the Open Quantum Materials Database | PBE | optimized geometry
# **Total DFT energy (no corrections)**: -89.67 eV per cell
data_LuTaTlNi
_chemical_formula_sum 'Lu4 Ta4 Tl4 Ni4'
_cell_length_a 6.800
_cell_length_b 6.800
_cell_length_c 6.800
_cell_angle_alpha 90.00
_cell_angle_beta 90.00
_cell_angle_gamma 90.00
_symmetry_space_group_name_H-M 'F -4 3 m'
_symmetry_Int_Tables_number 216
_symmetry_space_group_name_Hall 'F -4 2 3'
loop_
_atom_site_label
_atom_site_type_symbol
_atom_site_fract_x
_atom_site_fract_y
_atom_site_fract_z
Lu1 Lu 0.000 0.000 0.000
Ta1 Ta 0.250 0.250 0.250
Tl1 Tl 0.000 0.000 0.500
Ni1 Ni 0.250 0.250 0.750

=====

# Nb4Fe3Mo2C3 | the Open Quantum Materials Database | PBE | optimized geometry
# **Total DFT energy (no corrections)**: -458.12 eV per cell
data_Nb4Fe3Mo2C3
_chemical_formula_sum 'Nb16 Fe12 Mo8 C12'
_cell_length_a 9.199
_cell_length_b 5.315
_cell_length_c 13.713
_cell_angle_alpha 90.00
_cell_angle_beta 103.02
_cell_angle_gamma 90.00
_symmetry_space_group_name_H-M 'C 1 2/c 1'
_symmetry_Int_Tables_number 15
loop_
_symmetry_equiv_pos_as_xyz
'x,y,z'
'-x,-y,-z'
'-x,y,-z+1/2'
'x,-y,z+1/2'
'x+1/2,y+1/2,z'
'-x+1/2,-y+1/2,-z'
'-x+1/2,y+1/2,-z+1/2'
'x+1/2,-y+1/2,z+1/2'
loop_
_atom_site_label
_atom_site_type_symbol
_atom_site_fract_x
_atom_site_fract_y
_atom_site_fract_z
Nb1 Nb 0.114 0.085 0.092
Nb2 Nb 0.220 0.083 0.408
Fe1 Fe 0.000 0.080 0.250
Fe2 Fe 0.247 0.336 0.250
Mo1 Mo 0.050 0.418 0.904
C1 C 0.080 0.259 0.500
C2 C 0.250 0.250 0.000

=====

# TbGdB2Pd2N2 | the Open Quantum Materials Database | PBE | optimized geometry
# **Total DFT energy (no corrections)**: -58.05 eV per cell
data_TbGdB2Pd2N2
_chemical_formula_sum 'Tb1 Gd1 B2 Pd2 N2'
_cell_length_a 3.717
_cell_length_b 3.717
_cell_length_c 7.649
_cell_angle_alpha 90.00
_cell_angle_beta 90.00
_cell_angle_gamma 90.00
_symmetry_space_group_name_H-M 'P 4 m m'
_symmetry_Int_Tables_number 99
loop_
_symmetry_equiv_pos_as_xyz
'x,y,z'
'-y,x,z'
'-x,-y,z'
'y,-x,z'
'-x,y,z'
'y,x,z'
'x,-y,z'
'-y,-x,z'
loop_
_atom_site_label
_atom_site_type_symbol
_atom_site_fract_x
_atom_site_fract_y
_atom_site_fract_z
Tb1 Tb 0.000 0.000 0.000
Gd1 Gd 0.500 0.500 0.325
B1 B 0.000 0.000 0.489
B2 B 0.500 0.500 0.835
Pd1 Pd 0.000 0.500 0.663
N1 N 0.000 0.000 0.302
N2 N 0.500 0.500 0.021

=====

# ScNb2Zn | the Open Quantum Materials Database | PBE | optimized geometry
# **Formation enthalpy at 0 K**: 0.0482 eV/atom
# **Total DFT energy (no corrections)**: -110.35 eV per cell
data_ScNb2Zn
_chemical_formula_sum 'Sc4 Nb8 Zn4'
_cell_length_a 6.623
_cell_length_b 6.623
_cell_length_c 6.623
_cell_angle_alpha 90.00
_cell_angle_beta 90.00
_cell_angle_gamma 90.00
_symmetry_space_group_name_H-M 'F -4 3 m'
_symmetry_Int_Tables_number 216
_symmetry_space_group_name_Hall 'F -4 2 3'
loop_
_atom_site_label
_atom_site_type_symbol
_atom_site_fract_x
_atom_site_fract_y
_atom_site_fract_z
Sc1 Sc 0.000 0.000 0.000
Nb1 Nb 0.000 0.000 0.500
Nb2 Nb 0.250 0.250 0.250
Zn1 Zn 0.250 0.250 0.750

=====

# InCuPtSe2S | the Open Quantum Materials Database | PBE | optimized geometry
# **Total DFT energy (no corrections)**: -100.37 eV per cell
data_InCuPtSe2S
_chemical_formula_sum 'In4 Cu4 Pt4 Se8 S4'
_cell_length_a 3.779
_cell_length_b 11.941
_cell_length_c 10.542
_cell_angle_alpha 90.00
_cell_angle_beta 90.00
_cell_angle_gamma 90.00
_symmetry_space_group_name_H-M 'C m c m'
_symmetry_Int_Tables_number 63
_symmetry_space_group_name_Hall '-C 2c 2'
loop_
_atom_site_label
_atom_site_type_symbol
_atom_site_fract_x
_atom_site_fract_y
_atom_site_fract_z
In1 In 0.000 0.194 0.250
Cu1 Cu 0.000 0.126 0.750
Pt1 Pt 0.000 0.500 0.000
Se1 Se 0.000 0.138 0.519
S1 S 0.000 0.491 0.750

=====

# NaTcTe | the Open Quantum Materials Database | PBE | optimized geometry
# **Total DFT energy (no corrections)**: -53.81 eV per cell
data_NaTcTe
_chemical_formula_sum 'Na4 Tc4 Te4'
_cell_length_a 6.364
_cell_length_b 6.364
_cell_length_c 6.364
_cell_angle_alpha 90.00
_cell_angle_beta 90.00
_cell_angle_gamma 90.00
_symmetry_space_group_name_H-M 'F -4 3 m'
_symmetry_Int_Tables_number 216
_symmetry_space_group_name_Hall 'F -4 2 3'
loop_
_atom_site_label
_atom_site_type_symbol
_atom_site_fract_x
_atom_site_fract_y
_atom_site_fract_z
Na1 Na 0.000 0.000 0.000
Tc1 Tc 0.250 0.250 0.250
Te1 Te 0.000 0.000 0.500

=====

# NbInF6 | the Open Quantum Materials Database | PBE | optimized geometry
# **Total DFT energy (no corrections)**: -43.63 eV per cell
data_NbInF6
_chemical_formula_sum 'Nb1 In1 F6'
_cell_length_a 4.905
_cell_length_b 4.907
_cell_length_c 5.614
_cell_angle_alpha 90.18
_cell_angle_beta 115.78
_cell_angle_gamma 119.90
_symmetry_space_group_name_H-M 'P -1'
_symmetry_Int_Tables_number 2
loop_
_symmetry_equiv_pos_as_xyz
'x,y,z'
'-x,-y,-z'
loop_
_atom_site_label
_atom_site_type_symbol
_atom_site_fract_x
_atom_site_fract_y
_atom_site_fract_z
Nb1 Nb 0.000 0.000 0.000
In1 In 0.000 0.500 0.500
F1 F 0.180 0.244 0.747
F2 F 0.190 0.435 0.252
F3 F 0.497 0.065 0.252

=====

# Ba2Hg2Bi | the Open Quantum Materials Database | PBE | optimized geometry
# **Total DFT energy (no corrections)**: -22.38 eV per cell
data_Ba2Hg2Bi
_chemical_formula_sum 'Ba4 Hg4 Bi2'
_cell_length_a 4.577
_cell_length_b 4.577
_cell_length_c 17.579
_cell_angle_alpha 90.00
_cell_angle_beta 90.00
_cell_angle_gamma 90.00
_symmetry_space_group_name_H-M 'I 4/m m m'
_symmetry_Int_Tables_number 139
_symmetry_space_group_name_Hall '-I 4 2'
loop_
_atom_site_label
_atom_site_type_symbol
_atom_site_fract_x
_atom_site_fract_y
_atom_site_fract_z
Ba1 Ba 0.000 0.000 0.101
Hg1 Hg 0.000 0.500 0.250
Bi1 Bi 0.000 0.000 0.500

=====

# ErLuO3 | the Open Quantum Materials Database | PBE | optimized geometry
# **Total DFT energy (no corrections)**: -166.02 eV per cell
data_ErLuO3
_chemical_formula_sum 'Er4 Lu4 O12'
_cell_length_a 5.744
_cell_length_b 8.335
_cell_length_c 5.583
_cell_angle_alpha 90.00
_cell_angle_beta 90.00
_cell_angle_gamma 90.00
_symmetry_space_group_name_H-M 'I m m a'
_symmetry_Int_Tables_number 74
_symmetry_space_group_name_Hall '-I 2b 2'
loop_
_atom_site_label
_atom_site_type_symbol
_atom_site_fract_x
_atom_site_fract_y
_atom_site_fract_z
Er1 Er 0.000 0.250 0.046
Lu1 Lu 0.000 0.000 0.500
O1 O 0.000 0.250 0.658
O2 O 0.250 0.089 0.250

=====

# TmScCu2As4 | the Open Quantum Materials Database | PBE | optimized geometry
# **Total DFT energy (no corrections)**: -42.82 eV per cell
data_TmScCu2As4
_chemical_formula_sum 'Tm1 Sc1 Cu2 As4'
_cell_length_a 3.843
_cell_length_b 3.843
_cell_length_c 9.593
_cell_angle_alpha 90.00
_cell_angle_beta 90.00
_cell_angle_gamma 90.00
_symmetry_space_group_name_H-M 'P 4 m m'
_symmetry_Int_Tables_number 99
loop_
_symmetry_equiv_pos_as_xyz
'x,y,z'
'-y,x,z'
'-x,-y,z'
'y,-x,z'
'-x,y,z'
'y,x,z'
'x,-y,z'
'-y,-x,z'
loop_
_atom_site_label
_atom_site_type_symbol
_atom_site_fract_x
_atom_site_fract_y
_atom_site_fract_z
Tm1 Tm 0.000 0.000 0.000
Sc1 Sc 0.500 0.500 0.531
Cu1 Cu 0.000 0.500 0.270
As1 As 0.000 0.000 0.439
As2 As 0.000 0.500 0.759
As3 As 0.500 0.500 0.101

=====

# RbFe3 | the Open Quantum Materials Database | PBE | optimized geometry
# **Total DFT energy (no corrections)**: -39.32 eV per cell
data_RbFe3
_chemical_formula_sum 'Rb2 Fe6'
_cell_length_a 4.033
_cell_length_b 4.033
_cell_length_c 8.719
_cell_angle_alpha 90.00
_cell_angle_beta 90.00
_cell_angle_gamma 90.00
_symmetry_space_group_name_H-M 'I 4/m m m'
_symmetry_Int_Tables_number 139
_symmetry_space_group_name_Hall '-I 4 2'
loop_
_atom_site_label
_atom_site_type_symbol
_atom_site_fract_x
_atom_site_fract_y
_atom_site_fract_z
Rb1 Rb 0.000 0.000 0.000
Fe1 Fe 0.000 0.000 0.500
Fe2 Fe 0.000 0.500 0.250

=====

# Cu2Ag | the Open Quantum Materials Database | PBE | optimized geometry
# **Formation enthalpy at 0 K**: 0.0664 eV/atom
# **Total DFT energy (no corrections)**: -20.12 eV per cell
data_Cu2Ag
_chemical_formula_sum 'Cu4 Ag2'
_cell_length_a 2.769
_cell_length_b 3.464
_cell_length_c 8.692
_cell_angle_alpha 90.00
_cell_angle_beta 90.00
_cell_angle_gamma 90.00
_symmetry_space_group_name_H-M 'P m m n'
_symmetry_Int_Tables_number 59
loop_
_symmetry_equiv_pos_as_xyz
'x,y,z'
'-x,-y,-z'
'-x+1/2,-y+1/2,z'
'x+1/2,y+1/2,-z'
'x+1/2,-y,-z'
'-x+1/2,y,z'
'-x,y+1/2,-z'
'x,-y+1/2,z'
loop_
_atom_site_label
_atom_site_type_symbol
_atom_site_fract_x
_atom_site_fract_y
_atom_site_fract_z
Cu1 Cu 0.250 0.250 0.074
Cu2 Cu 0.250 0.250 0.783
Ag1 Ag 0.250 0.250 0.394